VASP calculation (PBE-GGA) on a relaxed La4BeZn crystal.

Cell lengths 6.402, 6.402, 6.402 Å; angles 60.00, 60.00, 60.00 degrees
Atoms (fractional coordinates):
La: 0.375 0.375 0.876
La: 0.375 0.375 0.375
La: 0.876 0.375 0.375
La: 0.375 0.876 0.375
Zn: 0.750 0.750 0.750
Be: 0.000 0.000 0.000

N(E_F) in states/eV/cell: 9.0
Formation enthalpy at 0 K in eV per atom: 0.666
Total DFT energy (no corrections) in eV per cell: -20.715
Size of the total moment in μB per formula unit: 0.00
SG: F-43m, No. 216

***

VASP calculation (PBE-GGA) on a relaxed LaBe3Zn crystal.

Cell lengths 4.357, 4.357, 4.357 Å; angles 90.00, 90.00, 90.00 degrees
Atoms (fractional coordinates):
Be: 0.000 0.500 0.000
Be: 0.000 0.000 0.500
Be: 0.500 0.000 0.000
Zn: 0.000 0.000 0.000
La: 0.500 0.500 0.500

N(E_F) in states/eV/cell: 2.9
Formation enthalpy at 0 K in eV per atom: 0.302
Total DFT energy (no corrections) in eV per cell: -15.869
Energy relative to the lowest polymorph listed for this composition in kcal/mol of atoms: 0.00
Size of the total moment in μB per formula unit: 0.00
SG: Pm-3m, No. 221

***

VASP calculation (PBE-GGA) on a relaxed La2BeZn crystal.

Cell lengths 5.035, 5.035, 5.035 Å; angles 60.00, 60.00, 60.00 degrees
Atoms (fractional coordinates):
Zn: 0.250 0.250 0.250
La: 0.750 0.750 0.750
La: 0.000 0.000 0.000
Be: 0.500 0.500 0.500

N(E_F) in states/eV/cell: 6.3
Formation enthalpy at 0 K in eV per atom: 0.325
Total DFT energy (no corrections) in eV per cell: -13.556
Energy relative to the lowest polymorph listed for this composition in kcal/mol of atoms: 8.58
Size of the total moment in μB per formula unit: 0.00
SG: F-43m, No. 216

***

VASP calculation (PBE-GGA) on a relaxed LaBeZn4 crystal.

Cell lengths 5.368, 5.368, 5.368 Å; angles 60.00, 60.00, 60.00 degrees
Atoms (fractional coordinates):
Zn: 0.376 0.873 0.376
Zn: 0.376 0.376 0.873
Zn: 0.376 0.376 0.376
Zn: 0.873 0.376 0.376
Be: 0.750 0.750 0.750
La: 0.000 0.000 0.000

N(E_F) in states/eV/cell: 2.8
Formation enthalpy at 0 K in eV per atom: 0.080
Total DFT energy (no corrections) in eV per cell: -13.271
Size of the total moment in μB per formula unit: 0.00
SG: F-43m, No. 216

***

VASP calculation (PBE-GGA) on a relaxed La2BeZn crystal.

Cell lengths 8.167, 8.167, 6.582 Å; angles 51.66, 51.66, 90.00 degrees
Atoms (fractional coordinates):
Zn: 0.000 0.000 0.000
Zn: 0.750 0.250 0.500
La: 0.581 0.125 0.250
La: 0.375 0.419 0.750
La: 0.169 0.625 0.250
La: 0.875 0.831 0.750
Be: 0.250 0.750 0.500
Be: 0.500 0.500 0.000

N(E_F) in states/eV/cell: 6.5
Formation enthalpy at 0 K in eV per atom: 0.347
Total DFT energy (no corrections) in eV per cell: -26.935
Energy relative to the lowest polymorph listed for this composition in kcal/mol of atoms: 9.10
Size of the total moment in μB per formula unit: 0.00
SG: I-42d, No. 122

***

VASP calculation (PBE-GGA) on a relaxed LaBeZn crystal.

Cell lengths 6.150, 6.150, 3.153 Å; angles 75.15, 75.15, 29.70 degrees
Atoms (fractional coordinates):
Zn: 0.625 0.625 0.375
La: 0.339 0.339 0.661
Be: 0.036 0.036 0.964

N(E_F) in states/eV/cell: 2.5
Formation enthalpy at 0 K in eV per atom: 0.110
Total DFT energy (no corrections) in eV per cell: -9.598
Energy relative to the lowest polymorph listed for this composition in kcal/mol of atoms: 4.84
Size of the total moment in μB per formula unit: 0.00
SG: I4mm, No. 107

***

VASP calculation (PBE-GGA) on a relaxed LaBeZn crystal.

Cell lengths 4.562, 4.562, 4.562 Å; angles 60.00, 60.00, 60.00 degrees
Atoms (fractional coordinates):
La: 0.000 0.000 0.000
Be: 0.750 0.750 0.750
Zn: 0.500 0.500 0.500

N(E_F) in states/eV/cell: 3.9
Formation enthalpy at 0 K in eV per atom: 0.106
Total DFT energy (no corrections) in eV per cell: -9.609
Energy relative to the lowest polymorph listed for this composition in kcal/mol of atoms: 4.76
Size of the total moment in μB per formula unit: 0.00
SG: F-43m, No. 216

***

VASP calculation (PBE-GGA) on a relaxed La2BeZn crystal.

Cell lengths 4.783, 4.783, 7.043 Å; angles 78.78, 78.78, 44.21 degrees
Atoms (fractional coordinates):
Zn: 0.750 0.750 0.750
Be: 0.250 0.250 0.250
La: 0.507 0.507 0.475
La: 0.993 0.993 0.025

N(E_F) in states/eV/cell: 4.5
Formation enthalpy at 0 K in eV per atom: 0.223
Total DFT energy (no corrections) in eV per cell: -13.962
Energy relative to the lowest polymorph listed for this composition in kcal/mol of atoms: 6.24
Size of the total moment in μB per formula unit: 0.00
SG: C2/m, No. 12